i) # ZrWC2

A geometry-optimized ZrWC2 structure (PBE-GGA, the Alexandria database).

Lattice parameters (Å, degrees): 5.5624 5.5624 5.5624 33.46 33.46 33.46
Fractional positions:
1 Zr 0.0000 0.0000 0.0000
2 W 0.5000 0.5000 0.5000
3 C 0.2440 0.2440 0.2440
4 C 0.7560 0.7560 0.7560

DOS at the Fermi energy, states/eV/f.u.: 1.1
Space group: No. 166


ii) # ZrWC2

A geometry-optimized ZrWC2 structure (PBE-GGA, the Alexandria database).

Lattice parameters (Å, degrees): 4.4988 4.4988 4.4988 140.33 101.69 91.58
Fractional positions:
1 Zr 0.0000 0.0000 0.0000
2 W 0.5000 0.5000 0.0000
3 C 0.2719 0.7719 0.5000
4 C 0.7281 0.2281 0.5000

DOS at the Fermi energy, states/eV/f.u.: 1.3
Space group: No. 71


Which one sits at the top of the stability order? i) does.